1.
Material: InReBr2
Method: DFT, SCAN
State: PBEsol geometry

```
4
Lattice="3.449 0.000 0.000 1.724 2.987 0.000 1.724 0.996 8.503" Properties=species:S:1:pos:R:3 pbc="T T T"
In 3.449 1.991 4.043
Re 1.724 0.996 2.053
Br 5.173 2.987 6.070
Br 5.173 2.987 0.589
```

Values from the calculation:
**DOS at the Fermi energy**: 0.0 states/eV/cell
**Calculated density**: 8.74 g/cm³
**ΔE_f (raw)**: 241 meV per atom
**Space group**: No. 160

---

2.
Material: LiMnTe2
Method: DFT, SCAN
State: PBEsol geometry

```
4
Lattice="-0.121 -2.794 1.900 -0.878 -2.261 -3.381 6.439 -0.974 -1.021" Properties=species:S:1:pos:R:3 pbc="T T T"
Te 5.778 -0.874 -0.916
Te 1.827 -2.880 -1.110
Li 3.036 -0.459 -0.481
Mn 4.458 -3.278 -1.527
```

Values from the calculation:
**DOS at the Fermi energy**: 0.7 states/eV/cell
**Calculated density**: 5.68 g/cm³
**ΔE_f (raw)**: -596 meV per atom
**Space group**: No. 25

---

3.
Material: Tc2IrW
Method: DFT, SCAN
State: PBEsol geometry

```
4
Lattice="2.734 0.000 0.000 0.000 2.734 0.000 0.000 0.000 7.724" Properties=species:S:1:pos:R:3 pbc="T T T"
Tc 1.367 1.367 1.853
Tc 0.000 0.000 0.040
Ir 1.367 1.367 5.816
W 0.000 0.000 3.877
```

Values from the calculation:
**Energy of formation from the pure elements**: -0.0822 eV per atom
**DOS at the Fermi energy**: 2.6 states/eV/cell
**Calculated density**: 16.45 g/cm³
**Space group**: No. 99

---

4.
Material: BaTcP3
Method: DFT, SCAN
State: PBEsol geometry

```
5
Lattice="-1.217 0.072 -4.546 -0.646 -4.662 0.099 -4.501 0.649 1.215" Properties=species:S:1:pos:R:3 pbc="T T T"
P -0.608 0.036 -2.273
P -2.250 0.325 0.608
P -0.323 -2.331 0.050
Ba -3.182 -1.970 -1.616
Tc 0.000 0.000 0.000
```

Values from the calculation:
**Energy of formation from the pure elements**: -0.2286 eV per atom
**DOS at the Fermi energy**: 4.3 states/eV/cell
**Calculated density**: 5.23 g/cm³
**Space group**: No. 221

---

5.
Material: KBeS2
Method: DFT, SCAN
State: PBEsol geometry

```
8
Lattice="5.523 0.000 0.000 0.000 5.523 0.000 -2.761 -2.761 6.057" Properties=species:S:1:pos:R:3 pbc="T T T"
Be 2.761 0.000 3.029
Be 2.761 2.761 0.000
K 0.000 2.761 3.029
K 0.000 0.000 0.000
S -1.381 0.000 4.543
S 2.761 4.142 1.514
S 2.761 1.381 1.514
S 1.381 0.000 4.543
```

Values from the calculation:
**DOS at the Fermi energy**: 2.7 states/eV/cell
**Calculated density**: 2.02 g/cm³
**ΔE_f (raw)**: -915 meV per atom
**Space group**: No. 141

---

6.
Material: InPdOF2
Method: DFT, SCAN
State: PBEsol geometry

```
5
Lattice="-0.127 -4.062 0.533 3.946 0.055 1.362 -1.357 0.556 3.909" Properties=species:S:1:pos:R:3 pbc="T T T"
O -0.064 -2.031 0.267
F 1.973 0.028 0.681
F -0.679 0.278 1.955
Pd 1.231 -1.725 2.902
In 0.000 0.000 0.000
```

Values from the calculation:
**DOS at the Fermi energy**: 0.6 states/eV/cell
**Calculated density**: 6.40 g/cm³
**ΔE_f (raw)**: -1286 meV per atom
**Space group**: No. 123

---

7.
Material: BaMgSi3
Method: DFT, SCAN
State: PBEsol geometry

```
5
Lattice="-5.431 0.351 -0.655 -0.642 -4.654 2.824 -0.375 2.874 4.653" Properties=species:S:1:pos:R:3 pbc="T T T"
Si -2.716 0.176 -0.328
Si -0.321 -2.327 1.412
Si -0.188 1.437 2.326
Ba 0.000 0.000 0.000
Mg -3.224 -0.714 3.410
```

Values from the calculation:
**DOS at the Fermi energy**: 4.6 states/eV/cell
**Calculated density**: 2.48 g/cm³
**ΔE_f (raw)**: 1860 meV per atom
**Space group**: No. 221

---

8.
Material: LiMgCd2
Method: DFT, SCAN
State: PBEsol geometry

```
4
Lattice="3.304 0.000 0.000 0.000 3.304 0.000 0.000 0.000 6.865" Properties=species:S:1:pos:R:3 pbc="T T T"
Cd 0.000 0.000 1.547
Cd 0.000 0.000 5.318
Mg 1.652 1.652 3.432
Li 1.652 1.652 0.000
```

Values from the calculation:
**Energy of formation from the pure elements**: -0.2589 eV per atom
**DOS at the Fermi energy**: 1.2 states/eV/cell
**Calculated density**: 5.68 g/cm³
**Space group**: No. 123